Record 1
A relaxed CoC3 crystal, computed with PBE-GGA.

abc: 7.2958 2.5545 3.6506
angles: 90.00 116.92 90.00
Space group C2/m (No. 12)
One atom of each set of equivalent atoms:
Co 0.0000 0.0000 0.0000 x2
C 0.0000 0.5000 0.5000 x2
C 0.1960 0.5000 0.5011 x4

Values from the calculation:
ΔE_f in meV/atom: 943

=====

Record 2
A relaxed PrSm2DyY crystal, computed with PBE-GGA.

abc: 8.2783 6.7343 6.2260
angles: 90.00 90.50 90.00
Space group P2/c (No. 13)
One atom of each set of equivalent atoms:
Pr 0.0000 0.0000 0.0000 x2
Sm 0.3074 0.3097 0.2471 x4
Dy 0.5000 0.1587 0.7500 x2
Y 0.0000 0.4234 0.7500 x2

Values from the calculation:
ΔE_f in meV/atom: 285

=====

Record 3
A relaxed CuBSe2 crystal, computed with PBE-GGA.

abc: 5.8263 3.4038 6.3309
angles: 90.00 108.22 90.00
Space group C2/m (No. 12)
One atom of each set of equivalent atoms:
Cu 0.0000 0.0000 0.0000 x2
B 0.0000 0.5000 0.5000 x2
Se 0.2431 0.0000 0.7163 x4

Values from the calculation:
Uncorrected formation energy in eV per formula unit: 1.7

=====

Record 4
A relaxed PrPa5Sb6 crystal, computed with PBE-GGA.

abc: 7.5956 13.1639 7.6062
angles: 90.00 109.47 90.00
Space group C2/m (No. 12)
One atom of each set of equivalent atoms:
Pr 0.0000 0.0000 0.0000 x2
Pa 0.0000 0.1620 0.5000 x4
Pa 0.0000 0.3320 0.0000 x4
Pa 0.0000 0.5000 0.5000 x2
Sb 0.2430 0.5000 0.2491 x4
Sb 0.2450 0.3305 0.7451 x8

Values from the calculation:
Uncorrected formation energy in eV per formula unit: -6.6